Computed, not measured: a geometry-optimized Rh2Se3Cl structure at the GGA-PBE level of DFT.

Structure (POSCAR):
```
Rh2Se3Cl
1.0
6.3892 -1.7968 0.0000
6.3892 1.7968 0.0000
-6.1753 0.0000 11.0506
Rh Se Cl
4 6 2
Cartesian
-0.8147 0.0000 4.2034
3.8848 0.0000 1.4362
2.7183 0.0000 9.6144
7.4178 0.0000 6.8473
-3.1433 0.0000 7.9603
1.8228 0.0000 0.1960
1.4779 0.0000 5.2721
5.1253 0.0000 5.7785
4.7804 0.0000 10.8546
9.7465 0.0000 3.0904
0.4138 0.0000 8.5147
6.1894 0.0000 2.5359
```

- Final energy: -4.9233 eV per atom
- Total magnetic moment: 0.00 μB per formula unit
- Formation energy from raw total energies: -0.423 eV/atom
- N(E_F): 5.95 states/eV per cell